No. 1
Density functional theory data (PBE) for a relaxed structure of LiHg3Bi.

Results
ΔE_f, kJ/mol of atoms: 27.4
Relative energy among the computed polymorphs, kJ per mole of atoms: 40.1

a b c (Å): 5.902 5.902 5.902
angles (deg): 90.00 90.00 90.00
Space group Pm-3m (No. 221)
Inequivalent atoms, fractional coordinates:
Li  0.000  0.000  0.000 [1 per cell]
Hg  0.000  0.500  0.500 [3 per cell]
Bi  0.500  0.500  0.500 [1 per cell]



No. 2
Density functional theory data (PBE) for a relaxed structure of Na3BiPt.

Results
ΔE_f, kJ/mol of atoms: -18.1
Relative energy among the computed polymorphs, kJ per mole of atoms: 0.0

a b c (Å): 8.800 10.005 7.105
angles (deg): 90.00 113.64 90.00
Space group C2/m (No. 12)
Inequivalent atoms, fractional coordinates:
Na  0.063  0.000  0.237 [4 per cell]
Na  0.187  0.258  0.749 [8 per cell]
Bi  0.104  0.500  0.320 [4 per cell]
Pt  0.200  0.500  0.001 [4 per cell]



Let's list D(E_F) in order: 0.6685; 0.3373 states/eV/atom.